No. 1
First-principles (GGA-PBE) data for an optimized crystal structure of Mg2BP, as listed in Alexandria via LeMat-Bulk.

The density of states at the Fermi level comes out at 0.42 states/eV per atom. For the relative energy among the computed polymorphs, the calculation gives 0 meV/atom. The value obtained for the size of the total moment is 0.0000 μB per atom. The value obtained for the volume is 15.1 Å³ per atom. The calculated total energy is -3.3942 eV per atom. For the energy of formation, the calculation gives 0.42 eV per atom.

It has space group Fm-3m (No. 225), with a = 6.232 Å, b = 6.232 Å, c = 6.232 Å, α = 90.00°, β = 90.00° and γ = 90.00°. The inequivalent atoms are Mg at (0.250, 0.250, 0.250), B at (0.000, 0.000, 0.000) and P at (0.000, 0.000, 0.500).

No. 2
First-principles (GGA-PBE) data for an optimized crystal structure of MgSc4Cd7, as listed in Alexandria via LeMat-Bulk.

The density of states at the Fermi level comes out at 0.57 states/eV per atom. The value obtained for the size of the total moment is 0.0000 μB per atom. The value obtained for the volume is 23.7 Å³ per atom. The calculated total energy is -2.8284 eV per atom. For the energy of formation, the calculation gives -0.05 eV per atom.

It has space group C2/m (No. 12), with a = 11.699 Å, b = 5.206 Å, c = 10.821 Å, α = 90.00°, β = 120.26° and γ = 90.00°. The inequivalent atoms are Mg at (0.000, 0.000, 0.000), Sc at (0.087, 0.500, 0.776), Sc at (0.234, 0.500, 0.317), Cd at (0.000, 0.500, 0.000), Cd at (0.068, 0.000, 0.341), Cd at (0.136, 0.500, 0.526) and Cd at (0.206, 0.000, 0.919).

No. 3
First-principles (GGA-PBE) data for an optimized crystal structure of Nd2SnGe, as listed in Alexandria via LeMat-Bulk.

The density of states at the Fermi level comes out at 0.73 states/eV per atom. The value obtained for the size of the total moment is 0.0000 μB per atom. The value obtained for the volume is 27.8 Å³ per atom. The calculated total energy is -5.3436 eV per atom. For the energy of formation, the calculation gives -0.80 eV per atom.

It has space group P2_1/m (No. 11), with a = 6.190 Å, b = 4.215 Å, c = 8.957 Å, α = 90.00°, β = 107.73° and γ = 90.00°. The inequivalent atoms are Nd at (0.194, 0.250, 0.423), Nd at (0.282, 0.750, 0.061), Sn at (0.377, 0.750, 0.709) and Ge at (0.118, 0.250, 0.795).

No. 4
First-principles (GGA-PBE) data for an optimized crystal structure of Pm3DyAu3, as listed in Alexandria via LeMat-Bulk.

The density of states at the Fermi level comes out at 0.78 states/eV per atom. The value obtained for the size of the total moment is 0.0000 μB per atom. The value obtained for the volume is 27.7 Å³ per atom. The calculated total energy is -4.7082 eV per atom. For the energy of formation, the calculation gives -0.61 eV per atom.

It has space group C2/m (No. 12), with a = 9.704 Å, b = 10.896 Å, c = 7.335 Å, α = 90.00°, β = 91.49° and γ = 90.00°. The inequivalent atoms are Pm at (0.000, 0.178, 0.000), Pm at (0.000, 0.257, 0.500), Pm at (0.150, 0.500, 0.871), Dy at (0.245, 0.500, 0.375), Au at (0.066, 0.000, 0.314) and Au at (0.241, 0.260, 0.223).

No. 5
First-principles (GGA-PBE) data for an optimized crystal structure of Fe2RuRh, as listed in Alexandria via LeMat-Bulk.

The density of states at the Fermi level comes out at 0.91 states/eV per atom. The value obtained for the size of the total moment is 0.0000 μB per atom. The value obtained for the volume is 17.5 Å³ per atom. The calculated total energy is -7.2694 eV per atom. For the energy of formation, the calculation gives 1.12 eV per atom.

It has space group I-42d (No. 122), with a = 5.220 Å, b = 5.220 Å, c = 10.253 Å, α = 90.00°, β = 90.00° and γ = 90.00°. The inequivalent atoms are Fe at (0.247, 0.250, 0.125), Ru at (0.000, 0.000, 0.000) and Rh at (0.000, 0.000, 0.500).

No. 6
First-principles (GGA-PBE) data for an optimized crystal structure of KGa2SbSe6, as listed in Alexandria via LeMat-Bulk.

The value obtained for the size of the total moment is 0.0000 μB per atom. The value obtained for the volume is 31.8 Å³ per atom. The value obtained for the formation energy without anion corrections is -0.4888 eV per atom. The calculated total energy is -3.7069 eV per atom.

It has space group C2/c (No. 15), with a = 13.875 Å, b = 13.432 Å, c = 7.153 Å, α = 90.00°, β = 107.56° and γ = 90.00°. The inequivalent atoms are K at (0.000, 0.094, 0.250), Ga at (0.215, 0.432, 0.032), Sb at (0.000, 0.252, 0.750), Se at (0.064, 0.350, 0.068), Se at (0.130, 0.127, 0.702) and Se at (0.237, 0.411, 0.712).

No. 7
First-principles (GGA-PBE) data for an optimized crystal structure of MnPPbAu2, as listed in Alexandria via LeMat-Bulk.

The density of states at the Fermi level comes out at 0.35 states/eV per atom. For the relative energy among the computed polymorphs, the calculation gives 742 meV/atom. The value obtained for the size of the total moment is 0.4579 μB per atom. The value obtained for the volume is 29.7 Å³ per atom. The calculated total energy is -3.7037 eV per atom. For the energy of formation, the calculation gives 1.26 eV per atom.

It has space group P4/mmm (No. 123), with a = 5.276 Å, b = 5.276 Å, c = 5.330 Å, α = 90.00°, β = 90.00° and γ = 90.00°. The inequivalent atoms are Mn at (0.000, 0.000, 0.000), P at (0.500, 0.500, 0.000), Pb at (0.000, 0.000, 0.500) and Au at (0.000, 0.500, 0.500).

No. 8
First-principles (GGA-PBE) data for an optimized crystal structure of La2CuSe, as listed in Alexandria via LeMat-Bulk.

The density of states at the Fermi level comes out at 1.11 states/eV per atom. The value obtained for the size of the total moment is 0.0000 μB per atom. The value obtained for the volume is 28.4 Å³ per atom. The value obtained for the formation energy without anion corrections is -0.8210 eV per atom. The calculated total energy is -5.1799 eV per atom.

It has space group Imm2 (No. 44), with a = 3.858 Å, b = 3.870 Å, c = 15.237 Å, α = 90.00°, β = 90.00° and γ = 90.00°. The inequivalent atoms are La at (0.000, 0.000, 0.000), La at (0.000, 0.500, 0.244), Cu at (0.000, 0.000, 0.586) and Se at (0.000, 0.500, 0.836).

Look up the volume of the fifth one. 17.5 Å³ per atom